--- 1 ---
Material: ZrTiAl2
Method: DFT, PBE
State: relaxed

Cell: 4.6526 4.6526 4.6526 Å, 60.00 60.00 60.00°
Positions (direct):
Al1 0.7500 0.7500 0.7500
Al2 0.2500 0.2500 0.2500
Zr1 0.5000 0.5000 0.5000
Ti1 0.0000 0.0000 0.0000

Output
Magnetic moment: 0.54 Bohr magnetons per cell
Space group: No. 225
Mass density: 4.5 g/cm3



--- 2 ---
Material: ZrTiAl2
Method: DFT, PBE
State: relaxed

Cell: 4.1518 4.1383 4.1383 Å, 90.00 90.00 90.00°
Positions (direct):
Ti1 0.5000 0.0000 0.0000
Al1 0.0000 0.5000 0.0000
Al2 0.0000 0.0000 0.5000
Zr1 0.5000 0.5000 0.5000

Output
Magnetic moment: 0.00 Bohr magnetons per cell
Space group: No. 123
Mass density: 4.5 g/cm3



Energy ordering: 2 at the bottom, the next structure 16.1 kJ/mol of atoms above.



--- 1 ---
Material: ZrTiAl2
Method: DFT, PBE
State: relaxed

Cell: 3.8759 7.2435 10.4837 Å, 90.00 90.00 90.00°
Positions (direct):
Zr1 0.2500 0.2737 0.6942
Zr2 0.7500 0.7263 0.3058
Zr3 0.7500 0.2263 0.1942
Zr4 0.2500 0.7737 0.8058
Al1 0.2500 0.9274 0.1625
Al2 0.7500 0.0726 0.8375
Al3 0.2500 0.1987 0.9823
Al4 0.7500 0.8013 0.0177
Al5 0.7500 0.3013 0.4823
Al6 0.2500 0.4274 0.3375
Al7 0.2500 0.6987 0.5177
Al8 0.7500 0.5726 0.6625
Ti1 0.7500 0.4531 0.9100
Ti2 0.2500 0.0469 0.4100
Ti3 0.2500 0.5469 0.0900
Ti4 0.7500 0.9531 0.5900

Output
Magnetic moment: 2.30 Bohr magnetons per cell
Space group: No. 62
Mass density: 4.4 g/cm3



--- 2 ---
Material: ZrTiAl2
Method: DFT, PBE
State: relaxed

Cell: 7.4215 7.4215 5.9399 Å, 51.34 51.34 90.00°
Positions (direct):
Ti1 0.5000 0.5000 0.0000
Ti2 0.2500 0.7500 0.5000
Zr1 0.7500 0.2500 0.5000
Zr2 0.0000 0.0000 0.0000
Al1 0.1400 0.6250 0.2500
Al2 0.8750 0.8600 0.7500
Al3 0.6100 0.1250 0.2500
Al4 0.3750 0.3900 0.7500

Output
Magnetic moment: 0.00 Bohr magnetons per cell
Space group: No. 122
Mass density: 4.2 g/cm3



--- 3 ---
Material: ZrTiAl2
Method: DFT, PBE
State: relaxed

Cell: 2.9613 2.9613 8.1032 Å, 90.00 90.00 90.00°
Positions (direct):
Zr1 0.5000 0.5000 0.5000
Al1 0.0000 0.0000 0.7642
Al2 0.0000 0.0000 0.2358
Ti1 0.5000 0.5000 0.0000

Output
Magnetic moment: 0.00 Bohr magnetons per cell
Space group: No. 123
Mass density: 4.5 g/cm3



Energy ordering: 3 at the bottom, the next structure 5.3 kJ/mol of atoms above.



--- 1 ---
Material: ZrTi3Al
Method: DFT, PBE
State: relaxed

Cell: 4.7393 4.7393 4.7393 Å, 90.00 90.00 90.00°
Positions (direct):
Ti1 0.0000 0.0000 0.5000
Ti2 0.5000 0.0000 0.0000
Ti3 0.0000 0.5000 0.0000
Al1 0.0000 0.0000 0.0000
Zr1 0.5000 0.5000 0.5000

Output
Magnetic moment: 2.73 Bohr magnetons per cell
Space group: No. 221
Mass density: 4.1 g/cm3



--- 2 ---
Material: ZrTi3Al
Method: DFT, PBE
State: relaxed

Cell: 4.7818 4.7818 4.7818 Å, 90.00 90.00 90.00°
Positions (direct):
Zr1 0.0000 0.0000 0.0000
Ti1 0.0000 0.0000 0.5000
Ti2 0.5000 0.0000 0.0000
Ti3 0.0000 0.5000 0.0000
Al1 0.5000 0.5000 0.5000

Output
Magnetic moment: 1.38 Bohr magnetons per cell
Space group: No. 221
Mass density: 4.0 g/cm3



--- 3 ---
Material: ZrTi3Al
Method: DFT, PBE
State: relaxed

Cell: 4.9400 4.9400 4.9400 Å, 66.37 66.37 66.37°
Positions (direct):
Al1 0.7017 0.7017 0.7017
Ti1 0.3279 0.8195 0.3279
Ti2 0.3279 0.3279 0.8195
Ti3 0.8195 0.3279 0.3279
Zr1 0.9481 0.9481 0.9481

Output
Magnetic moment: 1.97 Bohr magnetons per cell
Space group: No. 160
Mass density: 4.5 g/cm3



Energy ordering: 3 at the bottom, the next structure 48.6 kJ/mol of atoms above.